# 1
{"formula": "Y2TmS4", "functional": "PBE-GGA", "state": "optimized geometry", "energy_ev_per_atom": -6.782, "volume_a3_per_atom": 25.93, "lattice": [[0.000, 5.662, 5.662], [5.662, 0.000, 5.662], [5.662, 5.662, 0.000]], "species": ["Y", "Y", "Y", "Y", "Tm", "Tm", "S", "S", "S", "S", "S", "S", "S", "S"], "frac_coords": [[0.000, 0.000, 0.000], [0.000, 0.000, 0.500], [0.000, 0.500, 0.000], [0.500, 0.000, 0.000], [0.375, 0.375, 0.375], [0.625, 0.625, 0.625], [0.232, 0.756, 0.756], [0.244, 0.244, 0.244], [0.244, 0.244, 0.768], [0.244, 0.768, 0.244], [0.756, 0.232, 0.756], [0.756, 0.756, 0.232], [0.756, 0.756, 0.756], [0.768, 0.244, 0.244]]}

=====

# 2
{"formula": "Y6Tm2S", "functional": "PBE-GGA", "state": "optimized geometry", "energy_ev_per_atom": -6.151, "volume_a3_per_atom": 29.26, "lattice": [[9.007, 0.000, 0.000], [-4.504, 7.801, 0.000], [0.000, 0.000, 3.748]], "species": ["Y", "Y", "Y", "Y", "Y", "Y", "Tm", "Tm", "S"], "frac_coords": [[0.000, 0.244, 0.000], [0.000, 0.601, 0.500], [0.244, 0.000, 0.000], [0.399, 0.399, 0.500], [0.601, 0.000, 0.500], [0.756, 0.756, 0.000], [0.333, 0.667, 0.000], [0.667, 0.333, 0.000], [0.000, 0.000, 0.500]]}

=====

# 3
{"formula": "TmZrS3", "functional": "PBE-GGA", "state": "optimized geometry", "energy_ev_per_atom": -6.779, "volume_a3_per_atom": 21.37, "lattice": [[8.941, 0.000, 0.000], [0.000, 3.754, 0.000], [0.000, 0.000, 12.733]], "species": ["Tm", "Tm", "Tm", "Tm", "Zr", "Zr", "Zr", "Zr", "S", "S", "S", "S", "S", "S", "S", "S", "S", "S", "S", "S"], "frac_coords": [[0.005, 0.250, 0.154], [0.495, 0.750, 0.654], [0.505, 0.250, 0.346], [0.995, 0.750, 0.846], [0.162, 0.750, 0.462], [0.338, 0.250, 0.962], [0.662, 0.750, 0.038], [0.838, 0.250, 0.538], [0.004, 0.250, 0.374], [0.158, 0.750, 0.038], [0.186, 0.250, 0.793], [0.314, 0.750, 0.293], [0.342, 0.250, 0.538], [0.496, 0.750, 0.874], [0.504, 0.250, 0.126], [0.658, 0.750, 0.462], [0.686, 0.250, 0.707], [0.814, 0.750, 0.207], [0.842, 0.250, 0.962], [0.996, 0.750, 0.626]]}

=====

# 4
{"formula": "US2", "functional": "PBE-GGA", "state": "optimized geometry", "energy_ev_per_atom": -7.678, "volume_a3_per_atom": 25.75, "lattice": [[3.744, 0.000, 0.000], [-1.872, 3.243, 0.000], [0.000, 0.000, 19.084]], "species": ["U", "U", "U", "S", "S", "S", "S", "S", "S"], "frac_coords": [[0.000, 0.000, 0.000], [0.333, 0.667, 0.667], [0.667, 0.333, 0.333], [0.000, 0.000, 0.582], [0.000, 0.000, 0.751], [0.333, 0.667, 0.249], [0.333, 0.667, 0.418], [0.667, 0.333, 0.084], [0.667, 0.333, 0.916]]}

=====

# 5
{"formula": "US2", "functional": "PBE-GGA", "state": "optimized geometry", "energy_ev_per_atom": -7.882, "volume_a3_per_atom": 19.99, "lattice": [[7.051, 0.000, 0.000], [0.000, 4.020, 0.000], [0.000, 0.000, 8.465]], "species": ["U", "U", "U", "U", "S", "S", "S", "S", "S", "S", "S", "S"], "frac_coords": [[0.250, 0.250, 0.124], [0.250, 0.750, 0.624], [0.750, 0.250, 0.376], [0.750, 0.750, 0.876], [0.031, 0.250, 0.833], [0.140, 0.250, 0.431], [0.360, 0.750, 0.931], [0.469, 0.750, 0.333], [0.531, 0.250, 0.667], [0.640, 0.250, 0.069], [0.860, 0.750, 0.569], [0.969, 0.750, 0.167]]}

=====

# 6
{"formula": "US2", "functional": "PBE-GGA", "state": "optimized geometry", "energy_ev_per_atom": -7.682, "volume_a3_per_atom": 26.37, "lattice": [[3.741, 0.000, 0.000], [-1.871, 3.240, 0.000], [0.000, 0.000, 26.105]], "species": ["U", "U", "U", "U", "S", "S", "S", "S", "S", "S", "S", "S"], "frac_coords": [[0.000, 0.000, 0.000], [0.000, 0.000, 0.250], [0.000, 0.000, 0.750], [0.667, 0.333, 0.500], [0.000, 0.000, 0.438], [0.000, 0.000, 0.562], [0.333, 0.667, 0.188], [0.333, 0.667, 0.312], [0.333, 0.667, 0.688], [0.333, 0.667, 0.812], [0.667, 0.333, 0.062], [0.667, 0.333, 0.938]]}

=====

# 7
{"formula": "US2", "functional": "PBE-GGA", "state": "optimized geometry", "energy_ev_per_atom": -7.872, "volume_a3_per_atom": 20.27, "lattice": [[7.124, 0.000, 0.000], [0.000, 3.831, 0.000], [0.000, 0.000, 8.912]], "species": ["U", "U", "U", "U", "S", "S", "S", "S", "S", "S", "S", "S"], "frac_coords": [[0.220, 0.250, 0.149], [0.280, 0.750, 0.649], [0.720, 0.250, 0.351], [0.780, 0.750, 0.851], [0.010, 0.750, 0.323], [0.156, 0.750, 0.940], [0.344, 0.250, 0.440], [0.490, 0.250, 0.823], [0.510, 0.750, 0.177], [0.656, 0.750, 0.560], [0.844, 0.250, 0.060], [0.990, 0.250, 0.677]]}

=====

# 8
{"formula": "US", "functional": "PBE-GGA", "state": "optimized geometry", "energy_ev_per_atom": -8.329, "volume_a3_per_atom": 28.90, "lattice": [[6.137, 0.000, 0.000], [0.000, 6.137, 0.000], [0.000, 0.000, 6.137]], "species": ["U", "U", "U", "U", "S", "S", "S", "S"], "frac_coords": [[0.000, 0.000, 0.000], [0.000, 0.500, 0.500], [0.500, 0.000, 0.500], [0.500, 0.500, 0.000], [0.250, 0.250, 0.250], [0.250, 0.750, 0.750], [0.750, 0.250, 0.750], [0.750, 0.750, 0.250]]}

=====

# 9
{"formula": "US", "functional": "PBE-GGA", "state": "optimized geometry", "energy_ev_per_atom": -9.081, "volume_a3_per_atom": 20.37, "lattice": [[3.865, 0.000, 0.000], [0.000, 3.865, 0.000], [0.000, 0.000, 5.455]], "species": ["U", "U", "S", "S"], "frac_coords": [[0.000, 0.000, 0.000], [0.500, 0.500, 0.500], [0.000, 0.000, 0.500], [0.500, 0.500, 0.000]]}

=====

# 10
{"formula": "US2", "functional": "PBE-GGA", "state": "optimized geometry", "energy_ev_per_atom": -7.794, "volume_a3_per_atom": 26.82, "lattice": [[6.239, 0.000, 0.000], [0.000, 6.239, 0.000], [0.000, 0.000, 4.135]], "species": ["U", "U", "S", "S", "S", "S"], "frac_coords": [[0.000, 0.000, 0.000], [0.500, 0.500, 0.500], [0.194, 0.194, 0.500], [0.306, 0.694, 0.000], [0.694, 0.306, 0.000], [0.806, 0.806, 0.500]]}

=====

# 11
{"formula": "US2", "functional": "PBE-GGA", "state": "optimized geometry", "energy_ev_per_atom": -7.678, "volume_a3_per_atom": 26.04, "lattice": [[3.742, 0.000, 0.000], [-1.871, 3.241, 0.000], [0.000, 0.000, 12.884]], "species": ["U", "U", "S", "S", "S", "S"], "frac_coords": [[0.333, 0.667, 0.250], [0.667, 0.333, 0.750], [0.333, 0.667, 0.625], [0.333, 0.667, 0.875], [0.667, 0.333, 0.125], [0.667, 0.333, 0.375]]}

=====

# 12
{"formula": "U3S2", "functional": "PBE-GGA", "state": "optimized geometry", "energy_ev_per_atom": -9.028, "volume_a3_per_atom": 22.95, "lattice": [[3.140, 1.813, 6.718], [-3.140, 1.813, 6.718], [0.000, -3.626, 6.718]], "species": ["U", "U", "U", "U", "U", "U", "S", "S", "S", "S"], "frac_coords": [[0.094, 0.750, 0.406], [0.250, 0.594, 0.906], [0.406, 0.094, 0.750], [0.594, 0.906, 0.250], [0.750, 0.406, 0.094], [0.906, 0.250, 0.594], [0.169, 0.169, 0.169], [0.331, 0.331, 0.331], [0.669, 0.669, 0.669], [0.831, 0.831, 0.831]]}

=====

# 13
{"formula": "ZrU2S5", "functional": "PBE-GGA", "state": "optimized geometry", "energy_ev_per_atom": -7.941, "volume_a3_per_atom": 20.01, "lattice": [[11.421, 0.000, 0.000], [0.000, 7.738, 0.000], [0.000, 0.000, 7.244]], "species": ["Zr", "Zr", "Zr", "Zr", "U", "U", "U", "U", "U", "U", "U", "U", "S", "S", "S", "S", "S", "S", "S", "S", "S", "S", "S", "S", "S", "S", "S", "S", "S", "S", "S", "S"], "frac_coords": [[0.005, 0.250, 0.081], [0.495, 0.750, 0.581], [0.505, 0.250, 0.419], [0.995, 0.750, 0.919], [0.179, 0.501, 0.530], [0.179, 0.999, 0.530], [0.321, 0.001, 0.030], [0.321, 0.499, 0.030], [0.679, 0.501, 0.970], [0.679, 0.999, 0.970], [0.821, 0.001, 0.470], [0.821, 0.499, 0.470], [0.002, 0.250, 0.456], [0.092, 0.541, 0.168], [0.092, 0.959, 0.168], [0.184, 0.250, 0.835], [0.213, 0.750, 0.811], [0.287, 0.250, 0.311], [0.316, 0.750, 0.335], [0.408, 0.041, 0.668], [0.408, 0.459, 0.668], [0.498, 0.750, 0.956], [0.502, 0.250, 0.044], [0.592, 0.541, 0.332], [0.592, 0.959, 0.332], [0.684, 0.250, 0.665], [0.713, 0.750, 0.689], [0.787, 0.250, 0.189], [0.816, 0.750, 0.165], [0.908, 0.041, 0.832], [0.908, 0.459, 0.832], [0.998, 0.750, 0.544]]}

=====

# 14
{"formula": "WS", "functional": "PBE-GGA", "state": "optimized geometry", "volume_a3_per_atom": 15.22, "relative_energy_mev_per_atom": 591, "lattice": [[4.957, 0.000, 0.000], [0.000, 4.957, 0.000], [0.000, 0.000, 4.957]], "species": ["W", "W", "W", "W", "S", "S", "S", "S"], "frac_coords": [[0.000, 0.000, 0.000], [0.000, 0.500, 0.500], [0.500, 0.000, 0.500], [0.500, 0.500, 0.000], [0.000, 0.000, 0.500], [0.000, 0.500, 0.000], [0.500, 0.000, 0.000], [0.500, 0.500, 0.500]]}

=====

# 15
{"formula": "WS2", "functional": "PBE-GGA", "state": "optimized geometry", "energy_ev_per_atom": -7.481, "volume_a3_per_atom": 17.00, "lattice": [[5.359, 0.000, 0.000], [0.000, 6.025, 0.000], [0.000, 0.000, 3.159]], "species": ["W", "W", "S", "S", "S", "S"], "frac_coords": [[0.000, 0.000, 0.000], [0.500, 0.500, 0.500], [0.204, 0.353, 0.000], [0.296, 0.853, 0.500], [0.704, 0.147, 0.500], [0.796, 0.647, 0.000]]}

=====

# 16
{"formula": "WS2", "functional": "PBE-GGA", "state": "optimized geometry", "energy_ev_per_atom": -5.466, "volume_a3_per_atom": 14.67, "lattice": [[0.000, 3.531, 3.531], [3.531, 0.000, 3.531], [3.531, 3.531, 0.000]], "species": ["W", "W", "S", "S", "S", "S"], "frac_coords": [[0.125, 0.125, 0.125], [0.875, 0.875, 0.875], [0.000, 0.500, 0.500], [0.500, 0.000, 0.500], [0.500, 0.500, 0.000], [0.500, 0.500, 0.500]]}

=====

# 17
{"formula": "WS2", "functional": "PBE-GGA", "state": "optimized geometry", "energy_ev_per_atom": -7.594, "volume_a3_per_atom": 18.80, "lattice": [[1.598, 0.923, 12.747], [-1.598, 0.923, 12.747], [0.000, -1.845, 12.747]], "species": ["W", "W", "S", "S", "S", "S"], "frac_coords": [[0.083, 0.083, 0.083], [0.917, 0.917, 0.917], [0.209, 0.209, 0.209], [0.375, 0.375, 0.375], [0.625, 0.625, 0.625], [0.791, 0.791, 0.791]]}

=====

# 18
{"formula": "WS2", "functional": "PBE-GGA", "state": "optimized geometry", "energy_ev_per_atom": -7.594, "volume_a3_per_atom": 18.49, "lattice": [[3.195, 0.000, 0.000], [-1.597, 2.767, 0.000], [0.000, 0.000, 18.830]], "species": ["W", "W", "W", "S", "S", "S", "S", "S", "S"], "frac_coords": [[0.000, 0.000, 0.000], [0.333, 0.667, 0.667], [0.667, 0.333, 0.333], [0.000, 0.000, 0.249], [0.000, 0.000, 0.751], [0.333, 0.667, 0.418], [0.333, 0.667, 0.916], [0.667, 0.333, 0.084], [0.667, 0.333, 0.582]]}

=====

# 19
{"formula": "WS2", "functional": "PBE-GGA", "state": "optimized geometry", "energy_ev_per_atom": -7.213, "volume_a3_per_atom": 17.37, "lattice": [[4.188, 2.418, 3.430], [-4.188, 2.418, 3.430], [0.000, -4.836, 3.430]], "species": ["W", "W", "W", "W", "S", "S", "S", "S", "S", "S", "S", "S"], "frac_coords": [[0.000, 0.000, 0.000], [0.000, 0.500, 0.500], [0.500, 0.000, 0.500], [0.500, 0.500, 0.000], [0.141, 0.642, 0.857], [0.143, 0.859, 0.358], [0.358, 0.143, 0.859], [0.358, 0.358, 0.358], [0.642, 0.642, 0.642], [0.642, 0.857, 0.141], [0.857, 0.141, 0.642], [0.859, 0.358, 0.143]]}

=====

# 20
{"formula": "WS2", "functional": "PBE-GGA", "state": "optimized geometry", "energy_ev_per_atom": -7.548, "volume_a3_per_atom": 17.52, "lattice": [[6.222, 0.000, 0.000], [0.000, 6.012, 0.000], [-2.864, 0.000, 5.622]], "species": ["W", "W", "W", "W", "S", "S", "S", "S", "S", "S", "S", "S"], "frac_coords": [[0.221, 0.008, 0.203], [0.221, 0.492, 0.703], [0.779, 0.508, 0.297], [0.779, 0.992, 0.797], [0.144, 0.657, 0.339], [0.144, 0.843, 0.839], [0.363, 0.144, 0.619], [0.363, 0.356, 0.119], [0.637, 0.644, 0.881], [0.637, 0.856, 0.381], [0.856, 0.157, 0.161], [0.856, 0.343, 0.661]]}